Computed, not measured: a relaxed structure of CaPt2Pb at the PBEsol level of DFT.

Energy relative to the elements, eV/atom: -0.4585
Magnetization, μB/atom: 0.00
Energy, Ry per atom: -0.402
Space group: P4/mmm, No. 123

a b c (Å): 4.569 4.569 3.742
angles (deg): 90.00 90.00 90.00
Fractional coordinates of all 4 atoms:
Ca 0.000 0.000 0.000
Pt 0.000 0.500 0.500
Pt 0.500 0.000 0.500
Pb 0.500 0.500 0.000

Computed, not measured: a relaxed structure of CaPtPb at the PBEsol level of DFT.

Energy relative to the elements, eV/atom: -0.6896
Magnetization, μB/atom: 0.00
Energy, Ry per atom: -0.372
Space group: Pnma, No. 62

a b c (Å): 7.172 4.655 8.227
angles (deg): 90.00 90.00 90.00
Fractional coordinates of all 12 atoms:
Ca 0.019 0.250 0.191
Ca 0.481 0.750 0.691
Ca 0.519 0.250 0.309
Ca 0.981 0.750 0.809
Pt 0.226 0.750 0.397
Pt 0.274 0.250 0.897
Pt 0.726 0.750 0.103
Pt 0.774 0.250 0.603
Pb 0.172 0.250 0.575
Pb 0.328 0.750 0.075
Pb 0.672 0.250 0.925
Pb 0.828 0.750 0.425

Computed, not measured: a relaxed structure of RbCaPb3 at the PBEsol level of DFT.

Energy relative to the elements, eV/atom: 0.8019
Magnetization, μB/atom: 0.00
Energy, Ry per atom: -0.164
Space group: Pm-3m, No. 221

a b c (Å): 5.937 5.937 5.937
angles (deg): 90.00 90.00 90.00
Fractional coordinates of all 5 atoms:
Rb 0.000 0.000 0.000
Ca 0.500 0.500 0.500
Pb 0.000 0.000 0.500
Pb 0.000 0.500 0.000
Pb 0.500 0.000 0.000

Computed, not measured: a relaxed structure of RbCa2Pb2 at the PBEsol level of DFT.

Energy relative to the elements, eV/atom: -0.3736
Magnetization, μB/atom: 0.00
Energy, Ry per atom: -0.223
Space group: P4/mbm, No. 127

a b c (Å): 9.867 9.867 3.463
angles (deg): 90.00 90.00 90.00
Fractional coordinates of all 10 atoms:
Rb 0.000 0.000 0.000
Rb 0.500 0.500 0.000
Ca 0.127 0.373 0.500
Ca 0.373 0.873 0.500
Ca 0.627 0.127 0.500
Ca 0.873 0.627 0.500
Pb 0.169 0.669 0.000
Pb 0.331 0.169 0.000
Pb 0.669 0.831 0.000
Pb 0.831 0.331 0.000